<P>
The following is a PBEsol calculation of a geometry-optimized Zr2PPb structure, from the Alexandria database.

Output
**Calculated volume**: 88 Å³/cell

Cell: 3.446 4.934 5.462 Å, 90.00 108.39 90.00°
Fractional coordinates of all 4 atoms:
P (0.246, 0.000, 0.492)
Pb (0.537, 0.500, 0.075)
Zr (0.941, 0.000, 0.881)
Zr (0.265, 0.500, 0.530)

=====

<Q>
The following is a PBEsol calculation of a geometry-optimized Zr2PPb structure, from the Alexandria database.

Output
**Calculated volume**: 85 Å³/cell

Cell: 3.633 3.633 7.754 Å, 76.45 76.45 60.00°
Fractional coordinates of all 4 atoms:
Pb (0.000, 0.000, 0.000)
P (0.500, 0.500, 0.500)
Zr (0.229, 0.229, 0.312)
Zr (0.771, 0.771, 0.688)

=====

Stability check: which of them is least stable? <P>.

=====

<P>
The following is a PBEsol calculation of a geometry-optimized P3Pt structure, from the Alexandria database.

Output
**Calculated volume**: 56 Å³/cell

Cell: 2.960 2.960 6.441 Å, 90.00 90.00 90.00°
Fractional coordinates of all 4 atoms:
P (0.000, 0.000, 0.752)
P (0.500, 0.500, 0.000)
P (0.000, 0.000, 0.248)
Pt (0.500, 0.500, 0.500)

=====

<Q>
The following is a PBEsol calculation of a geometry-optimized P3Pt structure, from the Alexandria database.

Output
**Calculated volume**: 57 Å³/cell

Cell: 2.726 2.726 8.373 Å, 90.00 90.00 113.13°
Fractional coordinates of all 4 atoms:
P (0.000, 0.000, 0.254)
P (0.500, 0.500, 0.000)
P (0.000, 0.000, 0.746)
Pt (0.500, 0.500, 0.500)

=====

Stability check: which of them is least stable? <Q>.

=====

<P>
The following is a PBEsol calculation of a geometry-optimized PRuPt structure, from the Alexandria database.

Output
**Calculated volume**: 41 Å³/cell

Cell: 2.852 2.852 5.843 Å, 90.00 90.00 120.00°
Fractional coordinates of all 3 atoms:
P (0.000, 0.000, 0.016)
Pt (0.333, 0.667, 0.690)
Ru (0.667, 0.333, 0.295)

=====

<Q>
The following is a PBEsol calculation of a geometry-optimized PRuPt structure, from the Alexandria database.

Output
**Calculated volume**: 43 Å³/cell

Cell: 2.833 2.833 6.143 Å, 97.18 97.18 117.25°
Fractional coordinates of all 3 atoms:
P (0.007, 0.007, 0.014)
Pt (0.347, 0.347, 0.693)
Ru (0.647, 0.647, 0.293)

=====

Stability check: which of them is least stable? <Q>.

=====

<P>
The following is a PBEsol calculation of a geometry-optimized SbPPt2 structure, from the Alexandria database.

Output
**Calculated volume**: 71 Å³/cell

Cell: 3.784 4.393 4.393 Å, 103.52 90.00 90.00°
Fractional coordinates of all 4 atoms:
P (0.500, 0.000, 0.000)
Pt (0.000, 0.788, 0.212)
Pt (0.000, 0.212, 0.788)
Sb (0.500, 0.500, 0.500)

=====

<Q>
The following is a PBEsol calculation of a geometry-optimized SbPPt2 structure, from the Alexandria database.

Output
**Calculated volume**: 66 Å³/cell

Cell: 3.952 3.952 5.080 Å, 112.89 112.89 90.00°
Fractional coordinates of all 4 atoms:
P (0.250, 0.750, 0.500)
Pt (0.000, 0.000, 0.000)
Pt (0.750, 0.250, 0.500)
Sb (0.500, 0.500, 0.000)

=====

<R>
The following is a PBEsol calculation of a geometry-optimized SbPPt2 structure, from the Alexandria database.

Output
**Calculated volume**: 73 Å³/cell

Cell: 4.545 4.545 4.563 Å, 110.91 110.91 106.46°
Fractional coordinates of all 4 atoms:
P (0.500, 0.500, 0.000)
Pt (0.500, 0.000, 0.500)
Pt (0.000, 0.500, 0.500)
Sb (0.000, 0.000, 0.000)

=====

Stability check: which of them is least stable? <Q>.